# 1
## Ca2ScOsO6 (SCAN)

Data for a PBEsol-optimized structure of Ca2ScOsO6.

Magnetic moment (μB/cell): 6.00

Lattice parameters (Å, degrees): 5.4323 5.6133 9.4685 90.00 124.78 90.00
Element x y z (fractional)
Ca1 0.2361 0.0547 0.2502
Ca2 0.2361 0.4453 0.7502
Ca3 0.7639 0.5547 0.2498
Ca4 0.7639 0.9453 0.7498
Sc1 0.5000 0.0000 0.0000
Sc2 0.5000 0.5000 0.5000
Os1 0.0000 0.0000 0.5000
Os2 0.0000 0.5000 0.0000
O1 0.1406 0.2106 0.9483
O2 0.1406 0.2894 0.4483
O3 0.2424 0.6968 0.9507
O4 0.2424 0.8032 0.4507
O5 0.3386 0.0317 0.7423
O6 0.3386 0.4683 0.2423
O7 0.6614 0.5317 0.7577
O8 0.6614 0.9683 0.2577
O9 0.7576 0.1968 0.5493
O10 0.7576 0.3032 0.0493
O11 0.8594 0.7106 0.5517
O12 0.8594 0.7894 0.0517

# 2
## CaOsSe2O (SCAN)

Data for a PBEsol-optimized structure of CaOsSe2O.

Magnetic moment (μB/cell): 0.00

Lattice parameters (Å, degrees): 4.4653 4.4653 4.1694 90.00 90.00 90.00
Element x y z (fractional)
Ca1 0.0000 0.0000 0.0000
Os1 0.5000 0.5000 0.0000
Se1 0.0000 0.5000 0.5000
Se2 0.5000 0.0000 0.5000
O1 0.0000 0.0000 0.5000

# 3
## Sr2CaOsO6 (SCAN)

Data for a PBEsol-optimized structure of Sr2CaOsO6.

Magnetic moment (μB/cell): 2.00

Lattice parameters (Å, degrees): 5.8003 5.8003 5.8003 60.00 60.00 60.00
Element x y z (fractional)
Sr1 0.2500 0.2500 0.2500
Sr2 0.7500 0.7500 0.7500
Ca1 0.0000 0.0000 0.0000
Os1 0.5000 0.5000 0.5000
O1 0.2672 0.2672 0.7328
O2 0.2672 0.7328 0.2672
O3 0.2672 0.7328 0.7328
O4 0.7328 0.2672 0.2672
O5 0.7328 0.2672 0.7328
O6 0.7328 0.7328 0.2672

# 4
## Ca2OsWO (SCAN)

Data for a PBEsol-optimized structure of Ca2OsWO.

Magnetic moment (μB/cell): 2.04

Lattice parameters (Å, degrees): 5.6207 5.6207 4.4885 90.00 90.00 90.00
Element x y z (fractional)
Ca1 0.0000 0.5000 0.0000
Ca2 0.5000 0.0000 0.0000
Os1 0.0000 0.0000 0.5000
W1 0.0000 0.0000 0.0000
O1 0.5000 0.5000 0.5000

# 5
## Ca3PO (SCAN)

Data for a PBEsol-optimized structure of Ca3PO.

Magnetic moment (μB/cell): 0.00

Lattice parameters (Å, degrees): 5.2931 5.2931 5.2931 90.00 90.00 90.00
Element x y z (fractional)
Ca1 0.0000 0.0000 0.5000
Ca2 0.0000 0.5000 0.0000
Ca3 0.5000 0.0000 0.0000
P1 0.0000 0.0000 0.0000
O1 0.5000 0.5000 0.5000

# 6
## CaP2O6 (SCAN)

Data for a PBEsol-optimized structure of CaP2O6.

Magnetic moment (μB/cell): 0.00

Lattice parameters (Å, degrees): 6.9926 7.7400 16.9934 90.00 90.31 90.00
Element x y z (fractional)
Ca1 0.0174 0.1343 0.3286
Ca2 0.0174 0.3657 0.8286
Ca3 0.4760 0.6143 0.1033
Ca4 0.4760 0.8857 0.6033
Ca5 0.5240 0.1143 0.3967
Ca6 0.5240 0.3857 0.8967
Ca7 0.9826 0.6343 0.1714
Ca8 0.9826 0.8657 0.6714
P1 0.1417 0.1985 0.5369
P2 0.1417 0.3015 0.0369
P3 0.2181 0.0089 0.1458
P4 0.2181 0.4911 0.6458
P5 0.2675 0.7120 0.9116
P6 0.2675 0.7880 0.4116
P7 0.3702 0.9998 0.8048
P8 0.3702 0.5002 0.3048
P9 0.6298 0.0002 0.1952
P10 0.6298 0.4998 0.6952
P11 0.7325 0.2120 0.5884
P12 0.7325 0.2880 0.0884
P13 0.7819 0.5089 0.3542
P14 0.7819 0.9911 0.8542
P15 0.8583 0.6985 0.9631
P16 0.8583 0.8015 0.4631
O1 0.0566 0.0675 0.1962
O2 0.0566 0.4325 0.6962
O3 0.0818 0.7404 0.9634
O4 0.0818 0.7596 0.4634
O5 0.1803 0.0524 0.5932
O6 0.1803 0.4476 0.0932
O7 0.1974 0.1779 0.4526
O8 0.1974 0.3221 0.9526
O9 0.2221 0.6764 0.6192
O10 0.2221 0.8236 0.1192
O11 0.2343 0.1239 0.0673
O12 0.2343 0.3761 0.5673
O13 0.2399 0.5904 0.8434
O14 0.2399 0.9096 0.3434
O15 0.2968 0.5936 0.3834
O16 0.2968 0.9064 0.8834
O17 0.2981 0.5796 0.2302
O18 0.2981 0.9204 0.7302
O19 0.3408 0.1894 0.8186
O20 0.3408 0.3106 0.3186
O21 0.4088 0.0542 0.1926
O22 0.4088 0.4458 0.6926
O23 0.4272 0.6598 0.9664
O24 0.4272 0.8402 0.4664
O25 0.5728 0.1598 0.5336
O26 0.5728 0.3402 0.0336
O27 0.5912 0.5542 0.3074
O28 0.5912 0.9458 0.8074
O29 0.6592 0.6894 0.6814
O30 0.6592 0.8106 0.1814
O31 0.7019 0.0796 0.2698
O32 0.7019 0.4204 0.7698
O33 0.7032 0.0936 0.1166
O34 0.7032 0.4064 0.6166
O35 0.7601 0.0904 0.6566
O36 0.7601 0.4096 0.1566
O37 0.7657 0.6239 0.4327
O38 0.7657 0.8761 0.9327
O39 0.7779 0.1764 0.8808
O40 0.7779 0.3236 0.3808
O41 0.8026 0.6779 0.0474
O42 0.8026 0.8221 0.5474
O43 0.8197 0.5524 0.9068
O44 0.8197 0.9476 0.4068
O45 0.9182 0.2404 0.5366
O46 0.9182 0.2596 0.0366
O47 0.9434 0.5675 0.3038
O48 0.9434 0.9325 0.8038

# 7
## CaP2O6 (SCAN)

Data for a PBEsol-optimized structure of CaP2O6.

Magnetic moment (μB/cell): 0.35

Lattice parameters (Å, degrees): 12.1215 12.1215 6.7474 92.64 92.64 111.13
Element x y z (fractional)
Ca1 0.0518 0.9482 0.5000
Ca2 0.0646 0.4482 0.9939
Ca3 0.4327 0.5671 0.0118
Ca4 0.4482 0.0646 0.4939
Ca5 0.5523 0.9329 0.0178
Ca6 0.5671 0.4327 0.5118
Ca7 0.9329 0.5523 0.5178
Ca8 0.9482 0.0518 0.0000
P1 0.0993 0.2404 0.3738
P2 0.1234 0.7499 0.8401
P3 0.2404 0.0993 0.8738
P4 0.2409 0.5961 0.3647
P5 0.2539 0.9177 0.1681
P6 0.2817 0.4169 0.6317
P7 0.3679 0.7779 0.6748
P8 0.4169 0.2817 0.1317
P9 0.5961 0.2409 0.8647
P10 0.6301 0.7398 0.3365
P11 0.7398 0.6301 0.8365
P12 0.7499 0.1234 0.3401
P13 0.7624 0.8729 0.6989
P14 0.7779 0.3679 0.1748
P15 0.8729 0.7624 0.1989
P16 0.9177 0.2539 0.6681
O1 0.0075 0.2175 0.5425
O2 0.0578 0.6180 0.8326
O3 0.0613 0.8220 0.7458
O4 0.0864 0.1185 0.2913
O5 0.0881 0.3286 0.2365
O6 0.1185 0.0864 0.7913
O7 0.1200 0.5815 0.4225
O8 0.1654 0.7918 0.0703
O9 0.2040 0.4305 0.7889
O10 0.2175 0.0075 0.0425
O11 0.2231 0.9323 0.3780
O12 0.2243 0.2923 0.5043
O13 0.2462 0.7825 0.7407
O14 0.2585 0.5830 0.1468
O15 0.2923 0.2243 0.0043
O16 0.2964 0.5107 0.4686
O17 0.3286 0.0881 0.7365
O18 0.3354 0.7235 0.4504
O19 0.3812 0.9326 0.1496
O20 0.4055 0.4298 0.7029
O21 0.4100 0.7027 0.8051
O22 0.4298 0.4055 0.2029
O23 0.4305 0.2040 0.2889
O24 0.4525 0.9039 0.6726
O25 0.5107 0.2964 0.9686
O26 0.5414 0.7618 0.1964
O27 0.5815 0.1200 0.9225
O28 0.5830 0.2585 0.6468
O29 0.5982 0.6187 0.4083
O30 0.6180 0.0578 0.3326
O31 0.6187 0.5982 0.9083
O32 0.6623 0.8388 0.5200
O33 0.7027 0.4100 0.3051
O34 0.7178 0.9175 0.8768
O35 0.7235 0.3354 0.9504
O36 0.7515 0.7809 0.2297
O37 0.7618 0.5414 0.6964
O38 0.7809 0.7515 0.7297
O39 0.7825 0.2462 0.2407
O40 0.7918 0.1654 0.5703
O41 0.8220 0.0613 0.2458
O42 0.8388 0.6623 0.0200
O43 0.8811 0.9556 0.6430
O44 0.9039 0.4525 0.1726
O45 0.9175 0.7178 0.3768
O46 0.9323 0.2231 0.8780
O47 0.9326 0.3812 0.6496
O48 0.9556 0.8811 0.1430

# 8
## Ca5P3O13 (SCAN)

Data for a PBEsol-optimized structure of Ca5P3O13.

Magnetic moment (μB/cell): 2.07

Lattice parameters (Å, degrees): 9.3966 9.3966 6.8456 90.00 90.00 120.00
Element x y z (fractional)
Ca1 0.0039 0.7538 0.2500
Ca2 0.2462 0.2501 0.2500
Ca3 0.2501 0.0039 0.7500
Ca4 0.3333 0.6667 0.0013
Ca5 0.3333 0.6667 0.4987
Ca6 0.6667 0.3333 0.5013
Ca7 0.6667 0.3333 0.9987
Ca8 0.7499 0.9961 0.2500
Ca9 0.7538 0.7499 0.7500
Ca10 0.9961 0.2462 0.7500
P1 0.0309 0.6315 0.7500
P2 0.3685 0.3994 0.7500
P3 0.3994 0.0309 0.2500
P4 0.6006 0.9691 0.7500
P5 0.6315 0.6006 0.2500
P6 0.9691 0.3685 0.2500
O1 0.0000 0.0000 0.2500
O2 0.0000 0.0000 0.7500
O3 0.0871 0.7441 0.5679
O4 0.0871 0.7441 0.9321
O5 0.1250 0.5345 0.7500
O6 0.1568 0.4864 0.2500
O7 0.2559 0.3429 0.5679
O8 0.2559 0.3429 0.9321
O9 0.3296 0.8432 0.2500
O10 0.3429 0.0871 0.0679
O11 0.3429 0.0871 0.4321
O12 0.4095 0.8750 0.7500
O13 0.4655 0.5905 0.7500
O14 0.4864 0.3296 0.7500
O15 0.5136 0.6704 0.2500
O16 0.5345 0.4095 0.2500
O17 0.5905 0.1250 0.2500
O18 0.6571 0.9129 0.5679
O19 0.6571 0.9129 0.9321
O20 0.6704 0.1568 0.7500
O21 0.7441 0.6571 0.0679
O22 0.7441 0.6571 0.4321
O23 0.8432 0.5136 0.7500
O24 0.8750 0.4655 0.2500
O25 0.9129 0.2559 0.0679
O26 0.9129 0.2559 0.4321

Number 1: total energy -17.05 eV per atom, mass density 5.76 g/cm³. Number 2: total energy -25.38 eV per atom, mass density 8.07 g/cm³. Number 3: total energy -18.78 eV per atom, mass density 6.04 g/cm³. Number 4: total energy -32.15 eV per atom, mass density 5.51 g/cm³. Number 5: total energy -9.70 eV per atom, mass density 1.87 g/cm³. Number 6: total energy -10.32 eV per atom, mass density 2.86 g/cm³. Number 7: total energy -10.31 eV per atom, mass density 2.85 g/cm³. Number 8: total energy -10.76 eV per atom, mass density 3.18 g/cm³.